Entry 1:
A plane-wave DFT calculation with PBE-GGA was carried out for crystalline PrInCu at its relaxed geometry.

Computed properties:
* formation enthalpy at 0 K: -0.360 eV/atom

Unit cell a=13.513 b=4.077 c=7.694 alpha=90.00 beta=90.00 gamma=90.00
Sites, in units of the cell vectors:
Pr 0.044 0.000 0.243
Pr 0.250 0.000 0.862
Pr 0.456 0.000 0.243
Pr 0.544 0.000 0.757
Pr 0.750 0.000 0.138
Pr 0.956 0.000 0.757
In 0.128 0.500 0.576
In 0.250 0.500 0.205
In 0.372 0.500 0.576
In 0.628 0.500 0.424
In 0.750 0.500 0.795
In 0.872 0.500 0.424
Cu 0.089 0.500 0.949
Cu 0.250 0.000 0.448
Cu 0.411 0.500 0.949
Cu 0.589 0.500 0.051
Cu 0.750 0.000 0.552
Cu 0.911 0.500 0.051


Entry 2:
A plane-wave DFT calculation with PBE-GGA was carried out for crystalline PrIn2Cu at its relaxed geometry.

Computed properties:
* formation enthalpy at 0 K: -0.376 eV/atom

Unit cell a=6.959 b=4.834 c=11.138 alpha=90.00 beta=90.00 gamma=90.00
Sites, in units of the cell vectors:
Pr 0.235 0.250 0.149
Pr 0.265 0.750 0.649
Pr 0.735 0.250 0.351
Pr 0.765 0.750 0.851
In 0.056 0.750 0.350
In 0.229 0.750 0.948
In 0.271 0.250 0.448
In 0.444 0.250 0.850
In 0.556 0.750 0.150
In 0.729 0.750 0.552
In 0.771 0.250 0.052
In 0.944 0.250 0.650
Cu 0.058 0.250 0.878
Cu 0.442 0.750 0.378
Cu 0.558 0.250 0.622
Cu 0.942 0.750 0.122


Entry 3:
A plane-wave DFT calculation with PBE-GGA was carried out for crystalline PrInCu10 at its relaxed geometry.

Computed properties:
* formation enthalpy at 0 K: -0.053 eV/atom

Unit cell a=4.120 b=5.010 c=8.693 alpha=90.00 beta=90.00 gamma=90.00
Sites, in units of the cell vectors:
Pr 0.000 0.000 0.000
In 0.000 0.500 0.500
Cu 0.000 0.000 0.346
Cu 0.000 0.000 0.654
Cu 0.000 0.500 0.183
Cu 0.000 0.500 0.817
Cu 0.500 0.000 0.500
Cu 0.500 0.249 0.253
Cu 0.500 0.249 0.747
Cu 0.500 0.500 0.000
Cu 0.500 0.751 0.253
Cu 0.500 0.751 0.747


Entry 4:
A plane-wave DFT calculation with PBE-GGA was carried out for crystalline Pr5In4Cu at its relaxed geometry.

Computed properties:
* formation enthalpy at 0 K: -0.418 eV/atom

Unit cell a=3.691 b=3.691 c=20.976 alpha=90.00 beta=90.00 gamma=90.00
Sites, in units of the cell vectors:
Pr 0.000 0.000 0.000
Pr 0.000 0.000 0.207
Pr 0.000 0.000 0.415
Pr 0.000 0.000 0.585
Pr 0.000 0.000 0.793
In 0.500 0.500 0.104
In 0.500 0.500 0.312
In 0.500 0.500 0.688
In 0.500 0.500 0.896
Cu 0.500 0.500 0.500


Entry 5:
A plane-wave DFT calculation with PBE-GGA was carried out for crystalline Pr5InCu4 at its relaxed geometry.

Computed properties:
* formation enthalpy at 0 K: -0.190 eV/atom

Unit cell a=3.633 b=3.633 c=18.867 alpha=90.00 beta=90.00 gamma=90.00
Sites, in units of the cell vectors:
Pr 0.000 0.000 0.000
Pr 0.000 0.000 0.192
Pr 0.000 0.000 0.384
Pr 0.000 0.000 0.616
Pr 0.000 0.000 0.808
In 0.500 0.500 0.500
Cu 0.500 0.500 0.096
Cu 0.500 0.500 0.286
Cu 0.500 0.500 0.714
Cu 0.500 0.500 0.904


Entry 6:
A plane-wave DFT calculation with PBE-GGA was carried out for crystalline PrPuInCu at its relaxed geometry.

Computed properties:
* formation enthalpy at 0 K: -0.047 eV/atom

Unit cell a=5.283 b=5.283 c=5.283 alpha=60.00 beta=60.00 gamma=60.00
Sites, in units of the cell vectors:
Pr 0.000 0.000 0.000
Pu 0.500 0.500 0.500
In 0.750 0.750 0.750
Cu 0.250 0.250 0.250


Entry 7:
A plane-wave DFT calculation with PBE-GGA was carried out for crystalline Pr2InCu2Rh5 at its relaxed geometry.

Computed properties:
* formation enthalpy at 0 K: -0.415 eV/atom

Unit cell a=9.540 b=9.540 c=3.897 alpha=90.00 beta=90.00 gamma=90.00
Sites, in units of the cell vectors:
Pr 0.177 0.323 0.000
Pr 0.323 0.823 0.000
Pr 0.677 0.177 0.000
Pr 0.823 0.677 0.000
In 0.000 0.000 0.000
In 0.500 0.500 0.000
Cu 0.119 0.619 0.000
Cu 0.381 0.119 0.000
Cu 0.619 0.881 0.000
Cu 0.881 0.381 0.000
Rh 0.000 0.500 0.500
Rh 0.068 0.790 0.500
Rh 0.210 0.068 0.500
Rh 0.290 0.568 0.500
Rh 0.432 0.290 0.500
Rh 0.500 0.000 0.500
Rh 0.568 0.710 0.500
Rh 0.710 0.432 0.500
Rh 0.790 0.932 0.500
Rh 0.932 0.210 0.500


Entry 8:
A plane-wave DFT calculation with PBE-GGA was carried out for crystalline Pr2InCuS5 at its relaxed geometry.

Computed properties:
* formation energy without anion corrections: -1.359 eV/atom

Unit cell a=11.629 b=3.932 c=16.843 alpha=90.00 beta=90.00 gamma=90.00
Sites, in units of the cell vectors:
Pr 0.024 0.250 0.179
Pr 0.135 0.750 0.595
Pr 0.365 0.250 0.095
Pr 0.476 0.750 0.679
Pr 0.524 0.250 0.321
Pr 0.635 0.750 0.905
Pr 0.865 0.250 0.405
Pr 0.976 0.750 0.821
In 0.195 0.750 0.362
In 0.305 0.250 0.862
In 0.695 0.750 0.138
In 0.805 0.250 0.638
Cu 0.083 0.750 0.997
Cu 0.417 0.250 0.497
Cu 0.583 0.750 0.503
Cu 0.917 0.250 0.003
S 0.012 0.250 0.694
S 0.098 0.250 0.923
S 0.110 0.250 0.464
S 0.183 0.750 0.113
S 0.239 0.750 0.771
S 0.261 0.250 0.271
S 0.317 0.250 0.613
S 0.390 0.750 0.964
S 0.402 0.750 0.423
S 0.488 0.750 0.194
S 0.512 0.250 0.806
S 0.598 0.250 0.577
S 0.610 0.250 0.036
S 0.683 0.750 0.387
S 0.739 0.750 0.729
S 0.761 0.250 0.229
S 0.817 0.250 0.887
S 0.890 0.750 0.536
S 0.902 0.750 0.077
S 0.988 0.750 0.306


Entry 9:
A plane-wave DFT calculation with PBE-GGA was carried out for crystalline PrSmInCu at its relaxed geometry.

Computed properties:
* formation enthalpy at 0 K: -0.261 eV/atom

Unit cell a=5.321 b=5.321 c=5.321 alpha=60.00 beta=60.00 gamma=60.00
Sites, in units of the cell vectors:
Pr 0.000 0.000 0.000
Sm 0.500 0.500 0.500
In 0.750 0.750 0.750
Cu 0.250 0.250 0.250


Entry 10:
A plane-wave DFT calculation with PBE-GGA was carried out for crystalline Pr2InCu4Sn3 at its relaxed geometry.

Computed properties:
* formation enthalpy at 0 K: -0.415 eV/atom

Unit cell a=4.440 b=4.440 c=10.861 alpha=90.00 beta=90.00 gamma=90.00
Sites, in units of the cell vectors:
Pr 0.000 0.500 0.239
Pr 0.500 0.000 0.761
In 0.000 0.000 0.500
Cu 0.000 0.000 0.000
Cu 0.000 0.500 0.639
Cu 0.500 0.000 0.361
Cu 0.500 0.500 0.000
Sn 0.000 0.500 0.872
Sn 0.500 0.000 0.128
Sn 0.500 0.500 0.500


Entry 11:
A plane-wave DFT calculation with PBE-GGA was carried out for crystalline PrThInCu at its relaxed geometry.

Computed properties:
* formation enthalpy at 0 K: -0.136 eV/atom

Unit cell a=5.333 b=5.333 c=5.333 alpha=60.00 beta=60.00 gamma=60.00
Sites, in units of the cell vectors:
Pr 0.000 0.000 0.000
Th 0.500 0.500 0.500
In 0.250 0.250 0.250
Cu 0.750 0.750 0.750


Entry 12:
A plane-wave DFT calculation with PBE-GGA was carried out for crystalline PrTmInCu at its relaxed geometry.

Computed properties:
* formation enthalpy at 0 K: -0.269 eV/atom

Unit cell a=5.240 b=5.240 c=5.240 alpha=60.00 beta=60.00 gamma=60.00
Sites, in units of the cell vectors:
Pr 0.000 0.000 0.000
Tm 0.500 0.500 0.500
In 0.750 0.750 0.750
Cu 0.250 0.250 0.250